{"formula": "Zr2ScSe", "functional": "SCAN", "state": "single point on PBEsol structure", "formation_energy_uncorrected_ev_per_atom": -0.416, "lattice_angstrom": [[-2.328, -2.659, -0.894], [2.558, -2.993, 2.239], [-2.465, 0.836, 3.934]], "species": ["Sc", "Zr", "Zr", "Se"], "fractional_positions": [[0.500, 0.000, 0.500], [0.500, 0.500, 0.000], [0.000, 0.000, 0.000], [0.000, 0.500, 0.500]]}

{"formula": "AlTl2Mo", "functional": "SCAN", "state": "single point on PBEsol structure", "relative_energy_mev_per_atom": 243, "formation_enthalpy_0k_ev_per_atom": 0.70, "lattice_angstrom": [[-0.646, -2.164, 2.015], [-1.214, -2.614, -0.923], [8.858, -5.561, -0.861]], "species": ["Tl", "Tl", "Al", "Mo"], "fractional_positions": [[0.255, 0.255, 0.234], [0.745, 0.745, 0.766], [0.500, 0.500, 0.500], [0.000, 0.000, 0.000]]}

{"formula": "ZnSnP14", "functional": "SCAN", "state": "single point on PBEsol structure", "formation_enthalpy_0k_ev_per_atom": -0.06, "lattice_angstrom": [[9.779, 0.000, 0.000], [0.000, 10.219, 0.000], [0.000, 0.000, 12.362]], "species": ["P", "P", "P", "P", "P", "P", "P", "P", "P", "P", "P", "P", "P", "P", "P", "P", "P", "P", "P", "P", "P", "P", "P", "P", "P", "P", "P", "P", "P", "P", "P", "P", "P", "P", "P", "P", "P", "P", "P", "P", "P", "P", "P", "P", "P", "P", "P", "P", "P", "P", "P", "P", "P", "P", "P", "P", "Zn", "Zn", "Zn", "Zn", "Sn", "Sn", "Sn", "Sn"], "fractional_positions": [[0.952, 0.867, 0.858], [0.250, 0.281, 0.935], [0.548, 0.633, 0.358], [0.080, 0.926, 0.430], [0.923, 0.659, 0.820], [0.923, 0.841, 0.320], [0.577, 0.841, 0.320], [0.417, 0.791, 0.576], [0.750, 0.360, 0.174], [0.420, 0.574, 0.930], [0.077, 0.159, 0.680], [0.750, 0.140, 0.674], [0.083, 0.709, 0.076], [0.250, 0.655, 0.535], [0.048, 0.367, 0.642], [0.750, 0.590, 0.920], [0.917, 0.209, 0.424], [0.250, 0.845, 0.035], [0.952, 0.633, 0.358], [0.452, 0.367, 0.642], [0.077, 0.341, 0.180], [0.548, 0.867, 0.858], [0.250, 0.090, 0.580], [0.750, 0.155, 0.965], [0.583, 0.209, 0.424], [0.417, 0.709, 0.076], [0.750, 0.910, 0.420], [0.920, 0.426, 0.070], [0.580, 0.426, 0.070], [0.917, 0.291, 0.924], [0.750, 0.781, 0.565], [0.452, 0.133, 0.142], [0.423, 0.146, 0.966], [0.077, 0.146, 0.966], [0.083, 0.791, 0.576], [0.250, 0.860, 0.326], [0.048, 0.133, 0.142], [0.250, 0.640, 0.826], [0.920, 0.074, 0.570], [0.080, 0.574, 0.930], [0.250, 0.219, 0.435], [0.577, 0.659, 0.820], [0.577, 0.646, 0.534], [0.583, 0.291, 0.924], [0.750, 0.719, 0.065], [0.423, 0.159, 0.680], [0.250, 0.410, 0.080], [0.077, 0.354, 0.466], [0.923, 0.854, 0.034], [0.420, 0.926, 0.430], [0.577, 0.854, 0.034], [0.580, 0.074, 0.570], [0.750, 0.345, 0.465], [0.423, 0.341, 0.180], [0.923, 0.646, 0.534], [0.423, 0.354, 0.466], [0.250, 0.009, 0.178], [0.750, 0.509, 0.322], [0.250, 0.491, 0.678], [0.750, 0.991, 0.822], [0.250, 0.904, 0.823], [0.250, 0.596, 0.323], [0.750, 0.096, 0.177], [0.750, 0.404, 0.677]]}

{"formula": "Pr3In", "functional": "SCAN", "state": "single point on PBEsol structure", "formation_enthalpy_0k_ev_per_atom": -0.39, "lattice_angstrom": [[4.921, 0.000, 0.000], [0.000, 4.921, 0.000], [0.000, 0.000, 4.921]], "species": ["Pr", "Pr", "Pr", "In"], "fractional_positions": [[0.500, 0.000, 0.500], [0.500, 0.500, 0.000], [0.000, 0.500, 0.500], [0.000, 0.000, 0.000]]}

{"formula": "SrLiCu2", "functional": "SCAN", "state": "single point on PBEsol structure", "relative_energy_mev_per_atom": 143, "formation_enthalpy_0k_ev_per_atom": 0.11, "lattice_angstrom": [[-1.263, -0.979, 3.506], [3.823, 0.119, 1.411], [-1.900, 5.668, -1.219]], "species": ["Cu", "Cu", "Li", "Sr"], "fractional_positions": [[0.036, 0.036, 0.072], [0.661, 0.161, 0.322], [0.520, 0.520, 0.040], [0.283, 0.783, 0.565]]}

{"formula": "MgZn2Cd", "functional": "SCAN", "state": "single point on PBEsol structure", "relative_energy_mev_per_atom": 40, "formation_enthalpy_0k_ev_per_atom": -0.02, "lattice_angstrom": [[4.136, 0.000, 0.000], [0.000, 4.136, 0.000], [-2.068, -2.068, 4.070]], "species": ["Zn", "Zn", "Cd", "Mg"], "fractional_positions": [[0.250, 0.750, 0.500], [0.750, 0.250, 0.500], [0.500, 0.500, 0.000], [0.000, 0.000, 0.000]]}

{"formula": "AlCrCo2", "functional": "SCAN", "state": "single point on PBEsol structure", "formation_enthalpy_0k_ev_per_atom": 0.07, "lattice_angstrom": [[-2.047, 1.497, -0.290], [-1.425, -0.182, -2.110], [-5.638, -5.011, 2.695]], "species": ["Co", "Co", "Cr", "Al"], "fractional_positions": [[0.248, 0.248, 0.255], [0.752, 0.752, 0.745], [0.500, 0.500, 0.500], [0.000, 0.000, 0.000]]}

{"formula": "SrH9ClO5", "functional": "SCAN", "state": "single point on PBEsol structure", "energy_ev_per_fu": -114.62, "lattice_angstrom": [[-0.334, -2.756, -5.178], [6.279, -3.359, 1.513], [-3.883, -6.394, 1.007]], "species": ["O", "O", "O", "O", "O", "O", "O", "O", "O", "O", "H", "H", "H", "H", "H", "H", "H", "H", "H", "H", "H", "H", "H", "H", "H", "H", "H", "H", "Sr", "Sr", "Cl", "Cl"], "fractional_positions": [[0.528, 0.203, 0.150], [0.808, 0.185, 0.818], [0.192, 0.815, 0.182], [0.472, 0.797, 0.850], [0.851, 0.830, 0.565], [0.180, 0.173, 0.004], [0.149, 0.170, 0.435], [0.548, 0.174, 0.599], [0.820, 0.827, 0.996], [0.452, 0.826, 0.401], [0.694, 0.822, 0.675], [0.568, 0.330, 0.178], [0.306, 0.812, 0.044], [0.648, 0.181, 0.689], [0.840, 0.705, 0.044], [0.323, 0.189, 0.056], [0.432, 0.670, 0.822], [0.469, 0.295, 0.611], [0.896, 0.305, 0.798], [0.160, 0.295, 0.956], [0.129, 0.294, 0.492], [0.352, 0.819, 0.311], [0.306, 0.178, 0.325], [0.871, 0.706, 0.508], [0.694, 0.188, 0.956], [0.531, 0.705, 0.389], [0.104, 0.695, 0.202], [0.677, 0.811, 0.944], [0.172, 0.953, 0.713], [0.828, 0.047, 0.287], [0.824, 0.504, 0.282], [0.176, 0.496, 0.718]]}

Number 1: total magnetization 0.00 μB per formula unit. Number 2: total magnetization 0.00 μB per formula unit. Number 3: total magnetization 0.00 μB per formula unit. Number 4: total magnetization 0.60 μB per formula unit. Number 5: total magnetization 0.00 μB per formula unit. Number 6: total magnetization 0.00 μB per formula unit. Number 7: total magnetization 2.56 μB per formula unit. Number 8: total magnetization 0.00 μB per formula unit.